A relaxed Sc4InSbO crystal. Source: the Alexandria database, functional GGA-PBE.

Computed properties:
The value obtained for the total magnetization is 1.0 μB per cell. The uncorrected formation energy is -1.263 eV/atom. Its space-group type is Cmcm, No. 63.

abc: 6.098 6.097 8.273
angles: 90.00 111.63 90.00
Each line ends with the local moment (μB).
Fractional positions:
Sc  0.000  0.000  0.500  0.08
Sc  0.500  0.000  0.500  0.08
Sc  0.500  0.500  0.500  0.08
Sc  0.087  0.750  0.175  0.10
Sc  0.587  0.250  0.173  0.08
Sc  0.000  0.500  0.500  0.08
Sc  0.913  0.250  0.825  0.10
Sc  0.413  0.750  0.827  0.08
In  0.894  0.750  0.787  -0.01
In  0.106  0.250  0.213  -0.01
Sb  0.392  0.250  0.785  -0.01
Sb  0.608  0.750  0.215  -0.01
O  0.249  0.750  0.499  -0.01
O  0.751  0.250  0.501  -0.01